1.
A relaxed Dy4Ho5Zn crystal. Source: Alexandria, functional PBE.

a b c (Å): 3.531 3.531 23.665
angles (deg): 90.00 90.00 90.00
Sites, in units of the cell vectors:
1 Dy 0.000 0.000 0.106
2 Dy 0.000 0.000 0.317
3 Dy 0.000 0.000 0.683
4 Dy 0.000 0.000 0.894
5 Ho 0.500 0.500 0.000
6 Ho 0.500 0.500 0.212
7 Ho 0.500 0.500 0.425
8 Ho 0.500 0.500 0.575
9 Ho 0.500 0.500 0.788
10 Zn 0.000 0.000 0.500

Properties
**Raw total energy**: -4.310 eV per atom
**Symmetry**: P4/mmm (123)

=====

2.
A relaxed PRh8 crystal. Source: Alexandria, functional PBE.

a b c (Å): 6.012 6.012 6.012
angles (deg): 95.99 95.99 142.32
Sites, in units of the cell vectors:
1 P 0.000 0.000 0.000
2 Rh 0.000 0.329 0.329
3 Rh 0.000 0.671 0.671
4 Rh 0.329 0.000 0.329
5 Rh 0.335 0.335 0.671
6 Rh 0.335 0.665 0.000
7 Rh 0.665 0.335 0.000
8 Rh 0.665 0.665 0.329
9 Rh 0.671 0.000 0.671

Properties
**Raw total energy**: -7.127 eV per atom
**Symmetry**: I4/mmm (139)

=====

3.
A relaxed La3Ag4Ge2 crystal. Source: Alexandria, functional PBE.

a b c (Å): 6.129 6.129 9.078
angles (deg): 109.44 109.44 44.31
Sites, in units of the cell vectors:
1 La 0.000 0.000 0.000
2 La 0.330 0.330 0.340
3 La 0.670 0.670 0.660
4 Ag 0.054 0.054 0.385
5 Ag 0.286 0.286 0.944
6 Ag 0.714 0.714 0.056
7 Ag 0.946 0.946 0.615
8 Ge 0.393 0.393 0.723
9 Ge 0.607 0.607 0.277

Properties
**Raw total energy**: -4.432 eV per atom
**Symmetry**: C2/m (12)

=====

4.
A relaxed AcTbZnPb crystal. Source: Alexandria, functional PBE.

a b c (Å): 5.514 5.514 5.514
angles (deg): 60.00 60.00 60.00
Sites, in units of the cell vectors:
1 Ac 0.000 0.000 0.000
2 Tb 0.500 0.500 0.500
3 Zn 0.750 0.750 0.750
4 Pb 0.250 0.250 0.250

Properties
**Raw total energy**: -3.757 eV per atom
**Symmetry**: F-43m (216)

=====

5.
A relaxed TlRu3 crystal. Source: Alexandria, functional PBE.

a b c (Å): 5.364 5.364 5.364
angles (deg): 148.91 63.39 126.27
Sites, in units of the cell vectors:
1 Tl 0.000 0.000 0.000
2 Ru 0.133 0.367 0.767
3 Ru 0.516 0.016 0.500
4 Ru 0.600 0.367 0.233

Properties
**Energy above the most stable polymorph in this dataset**: 8.84 kJ per mole of atoms
**Symmetry**: Imm2 (44)

=====

6.
A relaxed Nd2Sm2Er5 crystal. Source: Alexandria, functional PBE.

a b c (Å): 10.113 10.113 10.113
angles (deg): 84.58 108.44 141.09
Sites, in units of the cell vectors:
1 Nd 0.004 0.127 0.131
2 Nd 0.004 0.373 0.377
3 Nd 0.996 0.627 0.623
4 Nd 0.996 0.873 0.869
5 Sm 0.440 0.701 0.239
6 Sm 0.461 0.201 0.761
7 Sm 0.548 0.048 0.500
8 Sm 0.548 0.548 0.000
9 Er 0.109 0.299 0.704
10 Er 0.109 0.905 0.311
11 Er 0.396 0.400 0.496
12 Er 0.432 0.024 0.123
13 Er 0.432 0.809 0.907
14 Er 0.594 0.405 0.296
15 Er 0.594 0.799 0.689
16 Er 0.902 0.309 0.877
17 Er 0.902 0.524 0.093
18 Er 0.904 0.900 0.504

Properties
**Energy above the most stable polymorph in this dataset**: 0.00 kJ per mole of atoms
**Symmetry**: Ima2 (46)

=====

7.
A relaxed SnGe3B crystal. Source: Alexandria, functional PBE.

a b c (Å): 5.279 5.279 5.279
angles (deg): 90.00 90.00 90.00
Sites, in units of the cell vectors:
1 Sn 0.000 0.000 0.000
2 Ge 0.000 0.000 0.500
3 Ge 0.000 0.500 0.000
4 Ge 0.500 0.000 0.000
5 B 0.500 0.500 0.500

Properties
**Energy above the most stable polymorph in this dataset**: 118.07 kJ per mole of atoms
**Symmetry**: Pm-3m (221)

=====

8.
A relaxed La3TiAg3Se8 crystal. Source: Alexandria, functional PBE.

a b c (Å): 8.097 8.097 8.115
angles (deg): 116.30 116.30 63.80
Sites, in units of the cell vectors:
1 La 0.000 0.000 0.000
2 La 0.000 0.500 0.500
3 La 0.500 0.000 0.500
4 Ti 0.500 0.500 0.000
5 Ag 0.000 0.500 0.000
6 Ag 0.500 0.000 0.000
7 Ag 0.500 0.500 0.500
8 Se 0.254 0.254 0.247
9 Se 0.276 0.276 0.783
10 Se 0.276 0.716 0.223
11 Se 0.284 0.724 0.777
12 Se 0.716 0.276 0.223
13 Se 0.724 0.284 0.777
14 Se 0.724 0.724 0.217
15 Se 0.746 0.746 0.753

Properties
**Raw total energy**: -5.111 eV per atom
**Symmetry**: C2/m (12)

=====

9.
A relaxed LuThTlGa crystal. Source: Alexandria, functional PBE.

a b c (Å): 5.280 5.280 5.280
angles (deg): 60.00 60.00 60.00
Sites, in units of the cell vectors:
1 Lu 0.000 0.000 0.000
2 Th 0.500 0.500 0.500
3 Tl 0.750 0.750 0.750
4 Ga 0.250 0.250 0.250

Properties
**Raw total energy**: -4.598 eV per atom
**Symmetry**: F-43m (216)

=====

10.
A relaxed KTaTe2 crystal. Source: Alexandria, functional PBE.

a b c (Å): 12.523 12.523 12.523
angles (deg): 15.46 15.46 15.46
Sites, in units of the cell vectors:
1 K 0.000 0.000 0.000
2 Ta 0.753 0.753 0.753
3 Te 0.255 0.255 0.255
4 Te 0.474 0.474 0.474

Properties
**Raw total energy**: -4.517 eV per atom
**Symmetry**: R3m (160)

=====

11.
A relaxed VOsAu2 crystal. Source: Alexandria, functional PBE.

a b c (Å): 7.037 7.037 7.037
angles (deg): 130.78 130.78 72.16
Sites, in units of the cell vectors:
1 V 0.000 0.000 0.000
2 V 0.750 0.250 0.500
3 Os 0.250 0.750 0.500
4 Os 0.500 0.500 0.000
5 Au 0.127 0.625 0.002
6 Au 0.375 0.377 0.502
7 Au 0.623 0.125 0.998
8 Au 0.875 0.873 0.498

Properties
**Energy above the most stable polymorph in this dataset**: 101.15 kJ per mole of atoms
**Symmetry**: I-42d (122)

=====

12.
A relaxed CuSiNiPt crystal. Source: Alexandria, functional PBE.

a b c (Å): 4.147 4.147 4.147
angles (deg): 60.00 60.00 60.00
Sites, in units of the cell vectors:
1 Cu 0.000 0.000 0.000
2 Si 0.500 0.500 0.500
3 Ni 0.250 0.250 0.250
4 Pt 0.750 0.750 0.750

Properties
**Raw total energy**: -5.686 eV per atom
**Symmetry**: F-43m (216)

=====

13.
A relaxed Cr2RuPb crystal. Source: Alexandria, functional PBE.

a b c (Å): 5.837 5.837 5.837
angles (deg): 103.13 103.13 123.07
Sites, in units of the cell vectors:
1 Cr 0.075 0.625 0.950
2 Cr 0.375 0.325 0.450
3 Cr 0.675 0.125 0.050
4 Cr 0.875 0.925 0.550
5 Ru 0.000 0.000 0.000
6 Ru 0.750 0.250 0.500
7 Pb 0.250 0.750 0.500
8 Pb 0.500 0.500 0.000

Properties
**Raw total energy**: -7.190 eV per atom
**Symmetry**: I-42d (122)

=====

14.
A relaxed Na4Tm3TaS8 crystal. Source: Alexandria, functional PBE.

a b c (Å): 8.036 8.036 8.036
angles (deg): 57.06 57.06 57.06
Sites, in units of the cell vectors:
1 Na 0.000 0.000 0.000
2 Na 0.000 0.500 0.500
3 Na 0.500 0.000 0.500
4 Na 0.500 0.500 0.000
5 Tm 0.000 0.000 0.500
6 Tm 0.000 0.500 0.000
7 Tm 0.500 0.000 0.000
8 Ta 0.500 0.500 0.500
9 S 0.242 0.242 0.242
10 S 0.255 0.733 0.733
11 S 0.267 0.267 0.745
12 S 0.267 0.745 0.267
13 S 0.733 0.255 0.733
14 S 0.733 0.733 0.255
15 S 0.745 0.267 0.267
16 S 0.758 0.758 0.758

Properties
**Raw total energy**: -5.563 eV per atom
**Symmetry**: R-3m (166)

=====

15.
A relaxed Sc2FeSi4 crystal. Source: Alexandria, functional PBE.

a b c (Å): 6.743 6.743 5.073
angles (deg): 90.00 90.00 90.00
Sites, in units of the cell vectors:
1 Sc 0.172 0.172 0.000
2 Sc 0.328 0.672 0.500
3 Sc 0.672 0.328 0.500
4 Sc 0.828 0.828 0.000
5 Fe 0.000 0.000 0.500
6 Fe 0.500 0.500 0.000
7 Si 0.075 0.338 0.500
8 Si 0.162 0.575 0.000
9 Si 0.338 0.075 0.500
10 Si 0.425 0.838 0.000
11 Si 0.575 0.162 0.000
12 Si 0.662 0.925 0.500
13 Si 0.838 0.425 0.000
14 Si 0.925 0.662 0.500

Properties
**Raw total energy**: -6.316 eV per atom
**Symmetry**: P4_2/mnm (136)

=====

16.
A relaxed K3MnAg crystal. Source: Alexandria, functional PBE.

a b c (Å): 6.412 6.412 6.412
angles (deg): 90.00 90.00 90.00
Sites, in units of the cell vectors:
1 K 0.000 0.000 0.500
2 K 0.000 0.500 0.000
3 K 0.500 0.000 0.000
4 Mn 0.500 0.500 0.500
5 Ag 0.000 0.000 0.000

Properties
**Energy above the most stable polymorph in this dataset**: 0.00 kJ per mole of atoms
**Symmetry**: Pm-3m (221)

=====

17.
A relaxed ZnCrW2N crystal. Source: Alexandria, functional PBE.

a b c (Å): 4.094 4.094 3.896
angles (deg): 90.00 90.00 90.00
Sites, in units of the cell vectors:
1 Zn 0.000 0.000 0.000
2 Cr 0.500 0.500 0.000
3 W 0.000 0.500 0.500
4 W 0.500 0.000 0.500
5 N 0.500 0.500 0.500

Properties
**Raw total energy**: -8.961 eV per atom
**Symmetry**: P4/mmm (123)

=====

18.
A relaxed HfSiSb2Te crystal. Source: Alexandria, functional PBE.

a b c (Å): 5.529 5.529 5.440
angles (deg): 90.00 90.00 90.00
Sites, in units of the cell vectors:
1 Hf 0.000 0.000 0.000
2 Si 0.500 0.500 0.500
3 Sb 0.000 0.500 0.000
4 Sb 0.500 0.000 0.000
5 Te 0.000 0.000 0.500

Properties
**Energy above the most stable polymorph in this dataset**: 0.00 kJ per mole of atoms
**Symmetry**: P4/mmm (123)